MgV2PbF: relaxed, PBE+U.

Results
calculated volume	115.7	Å³/cell
size of the total moment	7.8	μB/cell
total DFT energy (no corrections)	-4.12	eV per atom

Cell lengths 5.6391, 3.6373, 5.6391 Å; angles 90.00, 90.00, 90.00 degrees
Closest atoms and distances in Å follow each position.
Sites, in units of the cell vectors:
1 F 0.0000 0.5000 0.0000  2 Mg 1.82
2 V 0.5000 0.0000 0.0000  2 Mg 2.82
3 V 0.0000 0.0000 0.5000  2 Mg 2.82
4 Pb 0.5000 0.5000 0.5000  8 V 3.36, 2 Pb 3.64
5 Mg 0.0000 0.0000 0.0000  2 F 1.82